## Tb8Sc3 (PBE-GGA)

Data for a geometry-optimized Tb8Sc3 structure.

Results
- Space-group type: R-3 (148)
- Energy of formation: 0.467 eV/atom
- ΔE to the lowest computed polymorph: 423 meV per atom

Cell lengths 7.0056, 7.0056, 7.0056 Å; angles 84.72, 84.72, 84.72 degrees
Last column: nearest neighbours and their distance in Å.
Fractional coordinates of all 11 atoms:
1 Sc 0.5000 0.5000 0.0000  6 Tb 2.79-3.10
2 Tb 0.3100 0.1531 0.8780  2 Sc 3.09-3.10
3 Tb 0.8780 0.3100 0.1531  2 Sc 3.09-3.10
4 Tb 0.1220 0.6899 0.8469  2 Sc 3.09-3.10
5 Sc 0.5000 0.0000 0.5000  6 Tb 2.79-3.10
6 Sc 0.0000 0.5000 0.5000  6 Tb 2.79-3.10
7 Tb 0.8469 0.1220 0.6899  2 Sc 3.09-3.10
8 Tb 0.1531 0.8780 0.3100  2 Sc 3.09-3.10
9 Tb 0.3781 0.3781 0.3781  3 Sc 2.79
10 Tb 0.6219 0.6219 0.6219  3 Sc 2.79
11 Tb 0.6899 0.8469 0.1220  2 Sc 3.09-3.10

## InBF4 (PBE-GGA)

Data for a geometry-optimized InBF4 structure.

Results
- Space-group type: P-1 (2)
- ΔE to the lowest computed polymorph: 543 meV per atom
- Raw formation energy: -1167 kJ/mol of formula units

Cell lengths 5.5744, 5.2080, 7.0766 Å; angles 114.12, 113.21, 89.98 degrees
Last column: nearest neighbours and their distance in Å.
Fractional coordinates of all 12 atoms:
1 F 0.6784 0.2604 0.5730  1 B 1.46
2 F 0.8944 0.7603 0.5730  1 B 1.46
3 B 0.5000 0.0000 0.5000  4 F 1.46-1.55
4 In 0.2466 0.2502 0.0004  8 F 2.78-3.10
5 In 0.7534 0.7498 0.9996  8 F 2.78-3.10
6 F 0.1056 0.2397 0.4270  1 B 1.46
7 F 0.2038 0.5938 0.7528  1 B 1.55
8 F 0.5489 0.0939 0.7527  1 B 1.55
9 F 0.7962 0.4062 0.2472  1 B 1.55
10 F 0.3216 0.7396 0.4270  1 B 1.46
11 F 0.4511 0.9061 0.2473  1 B 1.55
12 B 0.0000 0.5000 0.5000  4 F 1.46-1.55

## CuTcP (PBE-GGA)

Data for a geometry-optimized CuTcP structure.

Results
- Space-group type: C2/m (12)
- Energy of formation: -0.204 eV/atom
- ΔE to the lowest computed polymorph: 64 meV per atom

Cell lengths 6.8109, 3.0265, 8.4814 Å; angles 90.00, 116.85, 90.00 degrees
Last column: nearest neighbours and their distance in Å.
Fractional coordinates of all 12 atoms:
1 Cu 0.9615 0.0000 0.3508  3 Cu 2.34-2.51, 3 P 2.44-2.45
2 P 0.6785 0.5000 0.1498  5 Tc 2.38-2.54, 3 Cu 2.44-2.45, 1 P 2.61
3 Cu 0.0385 0.5000 0.1492  3 Cu 2.34-2.51, 3 P 2.44-2.45
4 P 0.3215 0.0000 0.3502  5 Tc 2.38-2.54, 3 Cu 2.44-2.45, 1 P 2.61
5 P 0.6785 0.0000 0.6498  5 Tc 2.38-2.54, 3 Cu 2.44-2.45, 1 P 2.61
6 Tc 0.6501 0.5000 0.4195  5 P 2.38-2.54
7 Tc 0.3499 0.0000 0.0805  5 P 2.38-2.54
8 Cu 0.9615 0.5000 0.8508  3 Cu 2.34-2.51, 3 P 2.44-2.45
9 Tc 0.3499 0.5000 0.5805  5 P 2.38-2.54
10 P 0.3215 0.5000 0.8502  5 Tc 2.38-2.54, 3 Cu 2.44-2.45, 1 P 2.61
11 Cu 0.0385 0.0000 0.6492  3 Cu 2.34-2.51, 3 P 2.44-2.45
12 Tc 0.6501 0.0000 0.9195  5 P 2.38-2.54

## Na3ScV (PBE-GGA)

Data for a geometry-optimized Na3ScV structure.

Results
- Space-group type: Pm-3m (221)
- Energy of formation: 1.212 eV/atom

Cell lengths 5.4993, 5.4993, 5.4993 Å; angles 90.00, 90.00, 90.00 degrees
Last column: nearest neighbours and their distance in Å.
Fractional coordinates of all 5 atoms:
1 Na 0.0000 0.5000 0.0000  2 V 2.75
2 Sc 0.5000 0.5000 0.5000  12 Na 3.89
3 Na 0.0000 0.0000 0.5000  2 V 2.75
4 V 0.0000 0.0000 0.0000  6 Na 2.75
5 Na 0.5000 0.0000 0.0000  2 V 2.75

no.,total moment (μB/f.u.)
1,0.00
2,0.00
3,0.00
4,3.93